1.
Below is a relaxed Cs3Ag2I2Cl3 crystal, with properties calculated at the PBE level.

Cell and atoms, written as POSCAR:
```
Cs3Ag2I2Cl3
1.0
-0.652 -1.898 -5.159
1.716 -5.006 1.625
-13.646 -0.083 4.726
Cs Ag I Cl
3 2 2 3
Direct
0.629 0.629 0.259
0.371 0.371 0.741
0.000 0.000 0.000
0.789 0.789 0.578
0.211 0.211 0.422
0.750 0.250 0.500
0.250 0.750 0.500
0.881 0.881 0.762
0.500 0.500 0.000
0.119 0.119 0.238
```

Symmetry: I4/mmm
Raw formation energy: -1.21 eV per atom

---

2.
Below is a relaxed CsNb crystal, with properties calculated at the PBE level.

Cell and atoms, written as POSCAR:
```
CsNb
1.0
-5.897 2.238 0.562
-2.304 -5.634 -1.747
-0.117 -1.831 6.061
Cs Nb
4 4
Direct
0.000 0.000 0.000
0.000 0.500 0.500
0.500 0.000 0.500
0.500 0.500 0.000
0.250 0.250 0.250
0.250 0.750 0.750
0.750 0.250 0.750
0.750 0.750 0.250
```

Energy of formation from the pure elements: 3.17 eV/atom
Energy above the lowest structure with this stoichiometry: 2266 meV/atom
Symmetry: F-43m

---

3.
Below is a relaxed SrAsOs2 crystal, with properties calculated at the PBE level.

Cell and atoms, written as POSCAR:
```
SrAsOs2
1.0
5.258 -0.018 0.000
-2.354 4.701 0.000
0.000 0.000 3.034
Sr As Os
1 1 2
Direct
0.500 0.000 0.500
0.000 0.500 0.500
0.000 0.000 0.000
0.500 0.500 0.000
```

Energy of formation from the pure elements: 1.07 eV/atom
Symmetry: Cmmm

---

4.
Below is a relaxed MnBH3 crystal, with properties calculated at the PBE level.

Cell and atoms, written as POSCAR:
```
MnBH3
1.0
2.920 0.000 0.000
0.000 2.920 0.000
0.000 0.000 2.920
H B Mn
3 1 1
Direct
0.000 0.500 0.000
0.000 0.000 0.500
0.500 0.000 0.000
0.000 0.000 0.000
0.500 0.500 0.500
```

Energy above the lowest structure with this stoichiometry: 0 meV/atom
Symmetry: Pm-3m

---

5.
Below is a relaxed Sr2CuSbO crystal, with properties calculated at the PBE level.

Cell and atoms, written as POSCAR:
```
Sr2CuSbO
1.0
-0.773 -4.657 -2.335
3.486 -1.460 1.757
-2.781 -1.627 4.166
Sb O Cu Sr
1 1 1 2
Direct
0.500 0.500 0.500
0.000 0.000 0.000
0.000 0.500 0.000
0.000 0.000 0.500
0.500 0.000 0.000
```

Energy above the lowest structure with this stoichiometry: 165 meV/atom
Symmetry: P4/mmm
Raw formation energy: -1.21 eV per atom

---

6.
Below is a relaxed K6Co3Cl14 crystal, with properties calculated at the PBE level.

Cell and atoms, written as POSCAR:
```
K6Co3Cl14
1.0
6.462 0.000 0.000
0.000 9.664 -5.579
0.000 0.000 11.158
K Co Cl
6 3 14
Direct
0.268 0.795 0.092
0.268 0.908 0.703
0.268 0.297 0.205
0.750 0.539 0.570
0.750 0.430 0.970
0.750 0.030 0.461
0.838 0.000 0.000
0.329 0.333 0.667
0.484 0.667 0.333
0.962 0.068 0.211
0.962 0.789 0.857
0.962 0.143 0.932
0.453 0.257 0.455
0.453 0.545 0.802
0.453 0.198 0.743
0.494 0.000 0.000
0.985 0.333 0.667
0.686 0.734 0.208
0.686 0.792 0.525
0.686 0.475 0.266
0.285 0.601 0.460
0.285 0.540 0.141
0.285 0.859 0.399
```

Symmetry: P3
Raw formation energy: -1.32 eV per atom

---

7.
Below is a relaxed CrTcBr2 crystal, with properties calculated at the PBE level.

Cell and atoms, written as POSCAR:
```
CrTcBr2
1.0
9.095 0.265 0.002
7.808 4.671 -0.002
-8.453 -2.463 2.295
Br Cr Tc
2 1 1
Direct
0.988 0.988 0.000
0.265 0.765 0.500
0.578 0.578 0.000
0.669 0.169 0.500
```

Energy above the lowest structure with this stoichiometry: 284 meV/atom
Symmetry: Imm2
Raw formation energy: 0.35 eV per atom

---

8.
Below is a relaxed BiP3H crystal, with properties calculated at the PBE level.

Cell and atoms, written as POSCAR:
```
BiP3H
1.0
4.299 0.000 0.000
0.000 4.299 0.000
0.000 0.000 4.299
P Bi H
3 1 1
Direct
0.000 0.500 0.000
0.000 0.000 0.500
0.500 0.000 0.000
0.500 0.500 0.500
0.000 0.000 0.000
```

Energy above the lowest structure with this stoichiometry: 0 meV/atom
Symmetry: Pm-3m

---

9.
Below is a relaxed Pm2NdGd crystal, with properties calculated at the PBE level.

Cell and atoms, written as POSCAR:
```
Pm2NdGd
1.0
3.649 0.000 0.000
0.000 3.649 0.000
0.000 0.000 10.276
Gd Nd Pm
1 1 2
Direct
0.500 0.500 0.000
0.500 0.500 0.500
0.000 0.000 0.752
0.000 0.000 0.248
```

Energy of formation from the pure elements: 0.02 eV/atom
Energy above the lowest structure with this stoichiometry: 7 meV/atom
Symmetry: P4/mmm

---

10.
Below is a relaxed CsPm3Br8 crystal, with properties calculated at the PBE level.

Cell and atoms, written as POSCAR:
```
CsPm3Br8
1.0
-4.755 -5.452 3.679
1.937 -7.879 -0.220
3.873 -3.474 8.811
Cs Pm Br
1 3 8
Direct
0.500 0.500 0.500
0.000 0.500 0.000
0.500 0.000 0.000
0.500 0.500 0.000
0.736 0.736 0.793
0.264 0.264 0.207
0.772 0.772 0.190
0.772 0.265 0.190
0.265 0.772 0.190
0.735 0.228 0.810
0.228 0.735 0.810
0.228 0.228 0.810
```

Symmetry: R-3m
Raw formation energy: -1.75 eV per atom

---

11.
Below is a relaxed LiNdBiPd crystal, with properties calculated at the PBE level.

Cell and atoms, written as POSCAR:
```
LiNdBiPd
1.0
4.984 0.000 0.000
2.492 4.317 0.000
2.492 1.439 4.070
Nd Bi Pd Li
1 1 1 1
Direct
0.750 0.750 0.750
0.250 0.250 0.250
0.500 0.500 0.500
0.000 0.000 0.000
```

Energy of formation from the pure elements: -0.61 eV/atom
Symmetry: F-43m

---

12.
Below is a relaxed Ti4Ni3Ir crystal, with properties calculated at the PBE level.

Cell and atoms, written as POSCAR:
```
Ti4Ni3Ir
1.0
-3.013 -2.990 0.623
0.821 -4.103 -0.947
1.648 -3.398 6.435
Ni Ir Ti
3 1 4
Direct
0.256 0.256 0.231
0.744 0.744 0.769
0.500 0.500 0.500
0.000 0.000 0.000
0.871 0.871 0.386
0.379 0.379 0.862
0.129 0.129 0.614
0.621 0.621 0.138
```

Energy of formation from the pure elements: -0.50 eV/atom
Symmetry: R-3m

---

Computed V (Å³ per cell) in order:
426, 254, 75, 25, 116, 697, 93, 79, 137, 519, 88, 112